(1)
The following is a DFT calculation (GGA-PBEsol) of a relaxed structure of Co2AgBr.

Lattice parameters (Å, degrees): 5.450 5.450 5.450 104.37 104.37 120.25
Atoms (fractional coordinates):
Co  0.838  0.875  0.463
Co  0.412  0.375  0.537
Co  0.625  0.162  0.037
Co  0.125  0.588  0.963
Br  0.750  0.250  0.500
Br  0.500  0.500  0.000
Ag  0.250  0.750  0.500
Ag  0.000  0.000  0.000

Summary:
DOS(E_F) in states/eV per cell: 10.469
Formation energy from raw total energies in eV per atom: 0.8805
M_tot in μB per cell: 5.08
Raw total energy in eV per atom: -4.28

(2)
The following is a DFT calculation (GGA-PBEsol) of a relaxed structure of Co2AgBr.

Lattice parameters (Å, degrees): 2.951 4.064 5.360 100.30 90.00 111.29
Atoms (fractional coordinates):
Co  0.752  0.505  0.790
Co  0.248  0.495  0.210
Br  0.500  0.000  0.000
Ag  0.000  0.000  0.500

Summary:
DOS(E_F) in states/eV per cell: 3.884
Formation energy from raw total energies in eV per atom: 0.7157
M_tot in μB per cell: 3.00
Raw total energy in eV per atom: -4.45

(3)
The following is a DFT calculation (GGA-PBEsol) of a relaxed structure of CoAgBr3.

Lattice parameters (Å, degrees): 5.161 5.161 5.161 90.00 90.00 90.00
Atoms (fractional coordinates):
Co  0.500  0.500  0.500
Br  0.000  0.500  0.000
Br  0.000  0.000  0.500
Br  0.500  0.000  0.000
Ag  0.000  0.000  0.000

Summary:
DOS(E_F) in states/eV per cell: 7.251
Formation energy from raw total energies in eV per atom: 0.6554
M_tot in μB per cell: 2.45
Raw total energy in eV per atom: -2.68

(4)
The following is a DFT calculation (GGA-PBEsol) of a relaxed structure of Co2AgBr.

Lattice parameters (Å, degrees): 2.945 2.945 7.950 79.33 79.33 60.00
Atoms (fractional coordinates):
Co  0.254  0.254  0.237
Co  0.746  0.746  0.763
Br  0.000  0.000  0.000
Ag  0.500  0.500  0.500

Summary:
DOS(E_F) in states/eV per cell: 5.584
Formation energy from raw total energies in eV per atom: 0.6630
M_tot in μB per cell: 3.27
Raw total energy in eV per atom: -4.50

(5)
The following is a DFT calculation (GGA-PBEsol) of a relaxed structure of CoAgPdBr2.

Lattice parameters (Å, degrees): 4.562 4.562 4.896 90.00 90.00 90.00
Atoms (fractional coordinates):
Br  0.000  0.500  0.000
Br  0.500  0.000  0.000
Co  0.000  0.000  0.000
Pd  0.500  0.500  0.500
Ag  0.000  0.000  0.500

Summary:
DOS(E_F) in states/eV per cell: 6.063
Formation energy from raw total energies in eV per atom: 0.6029
M_tot in μB per cell: 1.24
Raw total energy in eV per atom: -3.55

(6)
The following is a DFT calculation (GGA-PBEsol) of a relaxed structure of SrCo2AgBr.

Lattice parameters (Å, degrees): 4.425 4.425 5.185 90.00 90.00 90.00
Atoms (fractional coordinates):
Sr  0.500  0.500  0.500
Co  0.000  0.500  0.000
Co  0.500  0.000  0.000
Br  0.000  0.000  0.000
Ag  0.000  0.000  0.500

Summary:
DOS(E_F) in states/eV per cell: 4.836
Formation energy from raw total energies in eV per atom: 0.7401
M_tot in μB per cell: 1.40
Raw total energy in eV per atom: -3.76

(7)
The following is a DFT calculation (GGA-PBEsol) of a relaxed structure of CrAgIr2Br.

Lattice parameters (Å, degrees): 4.591 4.591 4.727 90.00 90.00 90.00
Atoms (fractional coordinates):
Cr  0.500  0.500  0.500
Ir  0.000  0.500  0.000
Ir  0.500  0.000  0.000
Br  0.000  0.000  0.000
Ag  0.000  0.000  0.500

Summary:
DOS(E_F) in states/eV per cell: 4.806
Formation energy from raw total energies in eV per atom: 1.7914
M_tot in μB per cell: 4.50
Raw total energy in eV per atom: -5.22

(8)
The following is a DFT calculation (GGA-PBEsol) of a relaxed structure of CrAg2PBr.

Lattice parameters (Å, degrees): 4.692 4.744 4.744 90.00 90.00 90.00
Atoms (fractional coordinates):
Cr  0.500  0.000  0.000
Br  0.500  0.500  0.500
Ag  0.000  0.000  0.500
Ag  0.000  0.500  0.000
P  0.000  0.000  0.000

Summary:
DOS(E_F) in states/eV per cell: 2.561
Formation energy from raw total energies in eV per atom: 0.2578
M_tot in μB per cell: 4.00
Raw total energy in eV per atom: -4.65